{
  "formula": "Nd5Er4In4",
  "functional": "PBE",
  "state": "relaxed",
  "cell": [[-4.2852, -2.4725, -1.1161], [1.5731, -4.3191, -7.9945], [0.8043, -8.3372, 3.8582]],
  "species": ["Er", "Er", "Er", "Er", "In", "In", "In", "In", "Nd", "Nd", "Nd", "Nd", "Nd"],
  "frac_coords": [[0.6025, 0.3028, 0.4922], [0.3975, 0.6972, 0.5078], [0.0947, 0.5078, 0.3028], [0.9053, 0.4922, 0.6972], [0.7608, 0.3388, 0.1396], [0.0996, 0.1396, 0.6612], [0.2392, 0.6612, 0.8604], [0.9004, 0.8604, 0.3388], [0.0000, 0.0000, 0.0000], [0.3994, 0.2933, 0.9080], [0.3073, 0.0920, 0.2933], [0.6006, 0.7067, 0.0920], [0.6927, 0.9080, 0.7067]],
  "dft_energy_ev_per_atom": -4.386,
  "space_group": "I4/m",
  "dos_ef_per_ev_cell": 14.81,
  "formation_enthalpy_0k_ev_per_atom": -0.306,
  "volume_a3_per_atom": 30.7
}